No. 1
The following is a PBE-GGA calculation of crystalline ZnPd15 at its relaxed geometry, from OQMD.

Lattice parameters (Å, degrees): 5.531 2.784 45.157 90.00 90.01 90.00
Atoms (fractional coordinates):
Zn 0.125 0.250 0.174
Zn 0.875 0.750 0.826
Pd 0.124 0.250 0.698
Pd 0.125 0.250 0.257
Pd 0.125 0.250 0.346
Pd 0.125 0.250 0.434
Pd 0.125 0.250 0.522
Pd 0.125 0.250 0.610
Pd 0.127 0.250 0.788
Pd 0.374 0.750 0.302
Pd 0.375 0.750 0.390
Pd 0.375 0.750 0.478
Pd 0.375 0.750 0.566
Pd 0.375 0.750 0.654
Pd 0.375 0.750 0.743
Pd 0.375 0.750 0.832
Pd 0.376 0.750 0.212
Pd 0.624 0.250 0.788
Pd 0.625 0.250 0.168
Pd 0.625 0.250 0.257
Pd 0.625 0.250 0.346
Pd 0.625 0.250 0.434
Pd 0.625 0.250 0.522
Pd 0.625 0.250 0.610
Pd 0.626 0.250 0.698
Pd 0.873 0.750 0.212
Pd 0.875 0.750 0.390
Pd 0.875 0.750 0.478
Pd 0.875 0.750 0.566
Pd 0.875 0.750 0.654
Pd 0.875 0.750 0.743
Pd 0.876 0.750 0.302

## Properties
formation enthalpy at 0 K	0.14	eV/f.u.
volume	695.24	Å³ per cell
calculated total energy	-0.3618	Ry per atom
energy relative to the lowest polymorph listed for this composition	17	meV/atom
SG	P2_1/m (11)



No. 2
The following is a PBE-GGA calculation of crystalline Zn2Pd9 at its relaxed geometry, from OQMD.

Lattice parameters (Å, degrees): 2.790 2.790 35.077 90.00 90.00 120.00
Atoms (fractional coordinates):
Zn 0.333 0.667 0.320
Zn 0.667 0.333 0.680
Pd 0.000 0.000 0.000
Pd 0.000 0.000 0.195
Pd 0.000 0.000 0.805
Pd 0.333 0.667 0.130
Pd 0.333 0.667 0.739
Pd 0.333 0.667 0.935
Pd 0.667 0.333 0.065
Pd 0.667 0.333 0.261
Pd 0.667 0.333 0.870

## Properties
formation enthalpy at 0 K	-0.34	eV/f.u.
volume	236.45	Å³ per cell
calculated total energy	-0.3304	Ry per atom
SG	P-3m1 (164)



- Which formula does entry 2 have?
  Zn2Pd9



- Which of these has the lowest formation enthalpy at 0 K?
  Zn2Pd9



- volume of number 1 (ZnPd15)?
  695.24 Å³ per cell